Record 1
## CaPrDyGa (PBE)

Data for an optimized crystal structure of CaPrDyGa.

Output
Energy relative to the elements in eV per atom: -0.11
Fermi-level density of states in states/eV per atom: 0.72
V in Å³ per atom: 28.38
Total DFT energy (no corrections) in eV for the cell shown: -14.84

abc: 5.435 5.435 5.435
angles: 60.00 60.00 60.00
Atoms (fractional coordinates):
Pr: 0.000 0.000 0.000
Ca: 0.250 0.250 0.250
Ga: 0.750 0.750 0.750
Dy: 0.500 0.500 0.500

---

Record 2
## Sr5Li4Pd4 (PBE)

Data for an optimized crystal structure of Sr5Li4Pd4.

Output
Energy relative to the elements in eV per atom: -0.41
Fermi-level density of states in states/eV per atom: 0.43
V in Å³ per atom: 25.67
Total DFT energy (no corrections) in eV for the cell shown: -42.15

abc: 4.440 8.949 8.949
angles: 86.47 75.64 75.64
Atoms (fractional coordinates):
Sr: 0.712 0.916 0.659
Sr: 0.288 0.084 0.341
Sr: 0.000 0.000 0.000
Sr: 0.628 0.659 0.084
Sr: 0.372 0.341 0.916
Li: 0.898 0.530 0.675
Li: 0.573 0.325 0.530
Li: 0.102 0.470 0.325
Li: 0.427 0.675 0.470
Pd: 0.740 0.317 0.202
Pd: 0.260 0.683 0.798
Pd: 0.942 0.798 0.317
Pd: 0.058 0.202 0.683

---

Record 3
## ZnTcW (PBE)

Data for an optimized crystal structure of ZnTcW.

Output
Energy relative to the elements in eV per atom: 0.08
Fermi-level density of states in states/eV per atom: 0.42
V in Å³ per atom: 15.00
Total DFT energy (no corrections) in eV for the cell shown: -48.73
Excess energy over the best structure of this formula in the dataset in meV/atom: 1.4

abc: 4.413 4.413 5.336
angles: 90.00 90.00 120.00
Atoms (fractional coordinates):
Zn: 0.000 0.000 0.500
Zn: 0.000 0.000 0.000
Tc: 0.333 0.667 0.313
Tc: 0.667 0.333 0.687
W: 0.333 0.667 0.817
W: 0.667 0.333 0.183

---

Record 4
## V2Ir5OsRu (PBE)

Data for an optimized crystal structure of V2Ir5OsRu.

Output
Energy relative to the elements in eV per atom: 0.38
Fermi-level density of states in states/eV per atom: 1.38
V in Å³ per atom: 14.97
Total DFT energy (no corrections) in eV for the cell shown: -159.20

abc: 7.006 7.006 7.395
angles: 118.27 118.27 90.00
Atoms (fractional coordinates):
V: 0.107 0.393 0.000
V: 0.607 0.107 0.000
V: 0.393 0.893 0.000
V: 0.893 0.607 0.000
Ir: 0.921 0.421 0.269
Ir: 0.652 0.152 0.731
Ir: 0.079 0.579 0.731
Ir: 0.152 0.079 0.731
Ir: 0.579 0.652 0.731
Ir: 0.848 0.921 0.269
Ir: 0.421 0.348 0.269
Ir: 0.348 0.848 0.269
Ir: 0.500 0.500 0.000
Ir: 0.000 0.000 0.000
Os: 0.250 0.250 0.500
Os: 0.750 0.750 0.500
Ru: 0.250 0.750 0.500
Ru: 0.750 0.250 0.500